Density functional theory data (GGA+U) for an optimized crystal structure of BaCoO3.

POSCAR file:
```
BaCoO3
1.0
6.685 0.000 0.000
0.000 7.009 0.000
-5.177 0.000 8.355
Ba Co O
4 4 12
Direct
0.204 0.138 0.245
0.204 0.362 0.745
0.796 0.638 0.255
0.796 0.862 0.755
0.205 0.644 0.107
0.205 0.856 0.607
0.795 0.144 0.393
0.795 0.356 0.893
0.006 0.200 0.914
0.006 0.300 0.414
0.219 0.654 0.942
0.219 0.846 0.442
0.399 0.014 0.739
0.399 0.486 0.239
0.601 0.514 0.761
0.601 0.986 0.261
0.781 0.154 0.558
0.781 0.346 0.058
0.994 0.700 0.586
0.994 0.800 0.086
```

Summary:
size of the total moment	3.00	μB/f.u.
raw total energy	-5.885	eV/atom